{
  "formula": "MgBiMoAs",
  "functional": "PBE",
  "state": "relaxed",
  "sg": "F-43m",
  "polymorph_energy_ev_per_atom": 0.000,
  "lattice_angstrom": [[0.000, 3.395, 3.395], [3.395, 0.000, 3.395], [3.395, 3.395, 0.000]],
  "species": ["Mg", "Bi", "Mo", "As"],
  "fractional_positions": [[0.000, 0.000, 0.000], [0.250, 0.250, 0.250], [0.500, 0.500, 0.500], [0.750, 0.750, 0.750]]
}

{
  "formula": "RbNdO3",
  "functional": "PBE",
  "state": "relaxed",
  "sg": "P4mm",
  "energy_ev_per_atom": -5.855,
  "lattice_angstrom": [[4.598, 0.000, 0.000], [0.000, 4.598, 0.000], [0.000, 0.000, 4.600]],
  "species": ["Rb", "Nd", "O", "O", "O"],
  "fractional_positions": [[0.000, 0.000, 0.000], [0.500, 0.500, 0.499], [0.000, 0.500, 0.498], [0.500, 0.000, 0.498], [0.500, 0.500, 0.999]]
}